Entry from the Alexandria database: a relaxed BaSnBi2Pd2 crystal (PBE-GGA).

Cell: 5.100 5.100 6.827 Å, 90.00 90.00 90.00°
Fractional coordinates of all 6 atoms:
Ba (0.000, 0.000, 0.000)
Sn (0.000, 0.000, 0.500)
Bi (0.500, 0.500, 0.247)
Bi (0.500, 0.500, 0.753)
Pd (0.000, 0.500, 0.500)
Pd (0.500, 0.000, 0.500)

## Properties
SG: No. 123
ΔH_f (0 K) (eV per atom): -0.36
Magnetization (μB per cell): 0.000
Fermi-level density of states (states/eV/cell): 3.5